5
Lattice="5.117 0.000 0.000 0.000 5.117 0.000 0.000 0.000 5.117" Properties=species:S:1:pos:R:3 comment="GGA-PBE InHg3F, relaxed" dft_energy_ev_per_atom=-1.34 pbc="T T T"
F 0.000 0.000 0.000
Hg 2.559 0.000 0.000
Hg 0.000 2.559 0.000
Hg 0.000 0.000 2.559
In 2.559 2.559 2.559

***

11
Lattice="3.603 5.390 4.425 -1.147 7.668 -1.221 -2.888 -7.062 1.844" Properties=species:S:1:pos:R:3 comment="GGA-PBE Dy2HoCu4Si4, relaxed" dft_energy_ev_per_atom=-5.21 magmom_total_mub_per_fu=0.0 pbc="T T T"
Cu 1.035 3.810 2.999
Cu 1.863 8.214 4.079
Cu -2.295 -2.218 0.968
Cu -1.467 2.186 2.049
Dy 0.677 0.861 3.551
Dy -1.109 5.135 1.497
Ho 0.000 0.000 0.000
Si 0.530 2.817 0.691
Si 1.926 10.241 2.512
Si 1.360 6.220 2.759
Si -1.792 -0.224 2.288

***

10
Lattice="0.000 4.876 4.876 4.876 0.000 4.876 4.876 4.876 0.000" Properties=species:S:1:pos:R:3 comment="GGA-PBE Ba2LiNbS6, relaxed" dft_energy_ev_per_atom=-5.28 magmom_total_mub_per_fu=0.0 pbc="T T T"
Ba 2.438 2.438 2.438
Ba 7.315 7.315 7.315
Li 4.876 4.876 4.876
Nb 0.000 0.000 0.000
S 2.438 4.876 4.876
S 4.876 2.438 4.876
S 4.876 4.876 7.315
S 4.876 4.876 2.438
S 4.876 7.315 4.876
S 7.315 4.876 4.876

***

12
Lattice="2.480 1.432 8.219 -2.480 1.432 8.219 0.000 -2.864 8.219" Properties=species:S:1:pos:R:3 comment="GGA-PBE Sm2ErNi9, relaxed" dft_energy_ev_per_atom=-5.72 magmom_total_mub_per_fu=0.6 e_form_ev_per_atom=-0.38 pbc="T T T"
Er 0.000 0.000 0.000
Ni 0.000 1.431 10.203
Ni 0.000 0.000 8.209
Ni 1.239 0.715 14.455
Ni -1.239 0.715 14.455
Ni 0.000 0.000 12.329
Ni 1.239 -0.715 10.203
Ni -1.239 -0.715 10.203
Ni 0.000 0.000 16.450
Ni 0.000 -1.431 14.455
Sm 0.000 0.000 3.409
Sm 0.000 0.000 21.249

***

4
Lattice="0.000 3.529 3.529 3.529 0.000 3.529 3.529 3.529 0.000" Properties=species:S:1:pos:R:3 comment="GGA-PBE YFeHgSb, relaxed" dft_energy_ev_per_atom=-4.87 magmom_total_mub_per_fu=2.2 pbc="T T T"
Fe 5.294 5.294 5.294
Hg 3.529 3.529 3.529
Sb 0.000 0.000 0.000
Y 1.765 1.765 1.765

***

3
Lattice="-1.996 -2.536 -3.085 -3.189 1.739 -2.596 0.794 0.718 -4.334" Properties=species:S:1:pos:R:3 comment="GGA-PBE TaAgHg, relaxed" dft_energy_ev_per_atom=-4.17 magmom_total_mub_per_fu=0.0 e_form_ev_per_atom=0.82 pbc="T T T"
Ag 0.000 0.000 0.000
Hg -1.098 -0.020 -2.504
Ta -3.294 -0.059 -7.511